# 1
Density functional theory data (GGA-PBE) for CdNiSe after structural relaxation.

Lattice parameters (Å, degrees): 3.992 3.992 4.108 90.00 90.00 120.00
Fractional positions:
Se 0.333 0.667 0.528
Ni 0.667 0.333 0.448
Cd 0.000 0.000 0.024

Summary:
raw total energy: -10.4 eV per cell



# 2
Density functional theory data (GGA-PBE) for Sm5MgSc2 after structural relaxation.

Lattice parameters (Å, degrees): 5.110 6.225 16.883 90.00 90.00 114.23
Fractional positions:
Sc 0.757 0.514 0.346
Sc 0.243 0.486 0.654
Sc 0.757 0.514 0.154
Sc 0.243 0.486 0.846
Mg 0.203 0.405 0.250
Mg 0.797 0.595 0.750
Sm 0.649 0.298 0.962
Sm 0.649 0.298 0.538
Sm 0.351 0.702 0.038
Sm 0.950 0.900 0.597
Sm 0.351 0.702 0.462
Sm 0.950 0.900 0.903
Sm 0.480 0.959 0.250
Sm 0.520 0.041 0.750
Sm 0.050 0.100 0.403
Sm 0.050 0.100 0.097

Summary:
energy of formation: 87 meV per atom



# 3
Density functional theory data (GGA-PBE) for Y2HfTlZn after structural relaxation.

Lattice parameters (Å, degrees): 5.674 5.321 5.674 90.00 90.00 90.00
Fractional positions:
Y 0.500 0.000 0.000
Y 0.000 0.000 0.500
Tl 0.000 0.000 0.000
Zn 0.500 0.500 0.500
Hf 0.000 0.500 0.000

Summary:
energy of formation: 814 meV per atom



# 4
Density functional theory data (GGA-PBE) for NaMoH3 after structural relaxation.

Lattice parameters (Å, degrees): 4.924 5.375 5.375 120.00 90.00 90.00
Fractional positions:
Na 0.250 0.333 0.667
Na 0.750 0.667 0.333
Mo 0.500 0.000 0.000
Mo 0.000 0.000 0.000
H 0.250 0.843 0.686
H 0.250 0.314 0.157
H 0.750 0.686 0.843
H 0.250 0.843 0.157
H 0.750 0.157 0.843
H 0.750 0.157 0.314

Summary:
raw total energy: -43.5 eV per cell



# 5
Density functional theory data (GGA-PBE) for SmYW4 after structural relaxation.

Lattice parameters (Å, degrees): 5.571 5.571 5.571 60.00 60.00 60.00
Fractional positions:
W 0.625 0.125 0.625
W 0.625 0.625 0.125
W 0.125 0.625 0.625
W 0.625 0.625 0.625
Y 0.000 0.000 0.000
Sm 0.250 0.250 0.250

Summary:
energy of formation: 213 meV per atom



# 6
Density functional theory data (GGA-PBE) for AlV4Ga4 after structural relaxation.

Lattice parameters (Å, degrees): 4.799 5.891 5.891 80.45 65.96 65.96
Fractional positions:
Ga 0.385 0.906 0.325
Ga 0.290 0.325 0.094
Ga 0.615 0.094 0.675
Ga 0.710 0.675 0.906
V 0.957 0.686 0.399
V 0.643 0.399 0.314
V 0.043 0.314 0.601
V 0.357 0.601 0.686
Al 0.000 0.000 0.000

Summary:
energy of formation: 61 meV per atom



# 7
Density functional theory data (GGA-PBE) for K2SbTe after structural relaxation.

Lattice parameters (Å, degrees): 6.403 6.403 3.459 89.99 89.99 111.54
Fractional positions:
Te 0.000 0.500 0.500
K 0.000 0.000 0.000
K 0.500 0.500 0.000
Sb 0.500 0.000 0.500

Summary:
raw total energy: -11.4 eV per cell



# 8
Density functional theory data (GGA-PBE) for K4SrTh3Se8 after structural relaxation.

Lattice parameters (Å, degrees): 8.688 9.221 8.688 118.11 120.00 90.00
Fractional positions:
K 0.500 0.000 0.000
K 0.000 0.000 0.000
K 0.500 0.000 0.500
K 0.000 0.000 0.500
Sr 0.000 0.500 0.000
Se 0.245 0.715 0.490
Se 0.245 0.715 0.970
Se 0.755 0.285 0.510
Se 0.737 0.712 0.475
Se 0.755 0.285 0.030
Se 0.263 0.288 0.525
Se 0.275 0.285 0.030
Se 0.725 0.715 0.970
Th 0.500 0.500 0.000
Th 0.500 0.500 0.500
Th 0.000 0.500 0.500

Summary:
raw total energy: -82.1 eV per cell



# 9
Density functional theory data (GGA-PBE) for Ga2SnIrI after structural relaxation.

Lattice parameters (Å, degrees): 5.363 5.772 5.363 90.00 90.00 90.00
Site moments in Bohr magnetons follow the coordinates.
Fractional positions:
Sn 0.000 0.000 0.000  -0.01
Ga 0.000 0.000 0.500  -0.02
Ga 0.500 0.000 0.000  -0.03
I 0.000 0.500 0.000  0.07
Ir 0.500 0.500 0.500  1.80

Summary:
raw total energy: -13.9 eV per cell



# 10
Density functional theory data (GGA-PBE) for Pa2Zn15Hg2 after structural relaxation.

Lattice parameters (Å, degrees): 6.896 6.896 6.896 82.97 82.97 82.97
Fractional positions:
Pa 0.656 0.656 0.656
Pa 0.344 0.344 0.344
Zn 0.000 0.500 0.000
Zn 0.644 0.168 0.644
Zn 0.500 0.000 0.000
Zn 0.306 0.000 0.694
Zn 0.000 0.694 0.306
Zn 0.644 0.644 0.168
Zn 0.000 0.000 0.500
Zn 0.694 0.000 0.306
Zn 0.356 0.356 0.832
Zn 0.694 0.306 0.000
Zn 0.832 0.356 0.356
Zn 0.306 0.694 0.000
Zn 0.000 0.306 0.694
Zn 0.356 0.832 0.356
Zn 0.168 0.644 0.644
Hg 0.892 0.892 0.892
Hg 0.108 0.108 0.108

Summary:
energy of formation: -72 meV per atom



# 11
Density functional theory data (GGA-PBE) for SrAcCu10 after structural relaxation.

Lattice parameters (Å, degrees): 4.037 5.355 9.132 90.00 90.00 90.00
Fractional positions:
Cu 0.500 0.251 0.250
Cu 0.000 0.500 0.163
Cu 0.500 0.749 0.250
Cu 0.500 0.749 0.750
Cu 0.000 0.000 0.331
Cu 0.000 0.000 0.669
Cu 0.500 0.251 0.750
Cu 0.500 0.000 0.500
Cu 0.500 0.500 0.000
Cu 0.000 0.500 0.837
Sr 0.000 0.000 0.000
Ac 0.000 0.500 0.500

Summary:
energy of formation: -94 meV per atom



# 12
Density functional theory data (GGA-PBE) for PmInGaPt3 after structural relaxation.

Lattice parameters (Å, degrees): 5.669 5.730 8.917 108.74 90.00 90.00
Fractional positions:
Pt 0.500 0.748 0.000
Pt 0.000 0.252 0.000
Pt 0.750 0.737 0.475
Pt 0.000 0.748 0.000
Pt 0.500 0.252 0.000
Pt 0.250 0.263 0.525
Ga 0.250 0.409 0.818
Ga 0.750 0.591 0.182
In 0.750 0.894 0.789
In 0.250 0.106 0.211
Pm 0.750 0.294 0.588
Pm 0.250 0.706 0.412

Summary:
energy of formation: -638 meV per atom



# 13
Density functional theory data (GGA-PBE) for NaLa2Se2 after structural relaxation.

Lattice parameters (Å, degrees): 5.899 5.899 6.526 63.13 63.13 90.00
Fractional positions:
La 0.250 0.750 0.500
La 0.750 0.250 0.500
Na 0.000 0.000 0.000
Se 0.706 0.706 0.587
Se 0.294 0.294 0.413

Summary:
raw total energy: -23.9 eV per cell



# 14
Density functional theory data (GGA-PBE) for SnBiO2F after structural relaxation.

Lattice parameters (Å, degrees): 4.537 4.537 4.495 90.00 90.00 90.00
Fractional positions:
Sn 0.500 0.500 0.500
O 0.000 0.500 0.000
O 0.500 0.000 0.000
Bi 0.000 0.000 0.000
F 0.000 0.000 0.500

Summary:
raw total energy: -24.7 eV per cell



# 15
Density functional theory data (GGA-PBE) for NbV4B4 after structural relaxation.

Lattice parameters (Å, degrees): 4.270 6.944 6.944 90.00 90.00 90.00
Fractional positions:
Nb 0.500 0.500 0.500
Nb 0.000 0.000 0.000
B 0.132 0.840 0.703
B 0.632 0.797 0.340
B 0.868 0.703 0.160
B 0.868 0.297 0.840
B 0.368 0.660 0.797
B 0.632 0.203 0.660
B 0.132 0.160 0.297
B 0.368 0.340 0.203
V 0.370 0.355 0.883
V 0.130 0.855 0.383
V 0.370 0.645 0.117
V 0.870 0.383 0.145
V 0.630 0.883 0.645
V 0.130 0.145 0.617
V 0.630 0.117 0.355
V 0.870 0.617 0.855

Summary:
energy of formation: -282 meV per atom



# 16
Density functional theory data (GGA-PBE) for LaPm2As after structural relaxation.

Lattice parameters (Å, degrees): 4.007 4.007 9.864 78.28 78.28 60.00
Fractional positions:
La 0.500 0.500 0.499
As 0.666 0.666 0.001
Pm 0.061 0.061 0.817
Pm 0.272 0.272 0.183

Summary:
energy of formation: -631 meV per atom



# 17
Density functional theory data (GGA-PBE) for CaPa5Se6 after structural relaxation.

Lattice parameters (Å, degrees): 7.186 6.989 7.003 60.07 80.66 71.02
Site moments in Bohr magnetons follow the coordinates.
Fractional positions:
Se 0.753 0.751 0.000  -0.01
Se 0.752 0.083 0.331  -0.01
Se 0.248 0.917 0.669  -0.01
Se 0.248 0.586 0.331  -0.01
Se 0.247 0.249 0.000  -0.01
Se 0.752 0.414 0.669  -0.01
Pa 0.500 0.166 0.668  0.49
Pa 0.000 0.333 0.334  0.30
Pa 0.500 0.500 0.000  0.47
Pa 0.500 0.834 0.332  0.49
Pa 0.000 0.667 0.666  0.30
Ca 0.000 0.000 0.000  0.00

Summary:
raw total energy: -85.8 eV per cell



# 18
Density functional theory data (GGA-PBE) for NbNiAs2Br after structural relaxation.

Lattice parameters (Å, degrees): 4.994 4.994 5.204 90.00 90.00 90.00
Site moments in Bohr magnetons follow the coordinates.
Fractional positions:
Nb 0.000 0.000 0.000  0.02
As 0.500 0.000 0.000  0.02
As 0.000 0.500 0.000  0.02
Ni 0.500 0.500 0.500  0.91
Br 0.000 0.000 0.500  0.05

Summary:
raw total energy: -23.3 eV per cell



# 19
Density functional theory data (GGA-PBE) for LiCrAg2 after structural relaxation.

Lattice parameters (Å, degrees): 2.837 2.837 9.354 90.00 90.00 114.21
Site moments in Bohr magnetons follow the coordinates.
Fractional positions:
Li 0.500 0.500 0.751  -0.01
Ag 0.500 0.500 0.255  0.03
Ag 0.000 0.000 0.990  -0.01
Cr 0.000 0.000 0.503  3.45

Summary:
energy of formation: 341 meV per atom



# 20
Density functional theory data (GGA-PBE) for CsK2TlCl after structural relaxation.

Lattice parameters (Å, degrees): 6.116 6.116 6.782 90.00 90.00 90.00
Fractional positions:
Cs 0.000 0.000 0.500
K 0.500 0.000 0.000
K 0.000 0.500 0.000
Cl 0.000 0.000 0.000
Tl 0.500 0.500 0.500

Summary:
raw total energy: -10.7 eV per cell



# 21
Density functional theory data (GGA-PBE) for H2Pd6S after structural relaxation.

Lattice parameters (Å, degrees): 3.522 5.388 7.035 71.79 75.50 70.92
Fractional positions:
Pd 0.997 0.812 0.193
Pd 0.331 0.782 0.556
Pd 0.700 0.712 0.888
Pd 0.669 0.218 0.444
Pd 0.300 0.288 0.112
Pd 0.003 0.188 0.807
H 0.140 0.807 0.913
H 0.860 0.193 0.087
S 0.000 0.500 0.500

Summary:
raw total energy: -42.5 eV per cell



# 22
Density functional theory data (GGA-PBE) for SrAc2VN4 after structural relaxation.

Lattice parameters (Å, degrees): 3.658 6.628 12.977 90.00 90.00 106.02
Site moments in Bohr magnetons follow the coordinates.
Fractional positions:
Ac 0.368 0.736 0.543  0.02
Ac 0.632 0.264 0.457  0.02
Ac 0.632 0.264 0.043  0.02
Ac 0.368 0.736 0.957  0.02
N 0.000 0.000 0.000  -0.01
N 0.731 0.462 0.640  -0.01
N 0.616 0.233 0.250  -0.02
N 0.000 0.000 0.500  -0.01
N 0.269 0.538 0.360  -0.01
N 0.731 0.462 0.860  -0.01
N 0.384 0.767 0.750  -0.02
N 0.269 0.538 0.140  -0.01
Sr 0.896 0.792 0.250  0.01
Sr 0.104 0.208 0.750  0.01
V 0.815 0.631 0.750  0.22
V 0.185 0.369 0.250  0.22

Summary:
raw total energy: -120.1 eV per cell



# 23
Density functional theory data (GGA-PBE) for Na4Y3TlO8 after structural relaxation.

Lattice parameters (Å, degrees): 6.838 6.870 6.839 119.83 119.99 90.00
Fractional positions:
Tl 0.000 0.500 0.000
Na 0.500 0.000 0.000
Na 0.000 0.000 0.000
Na 0.000 0.000 0.500
Na 0.500 0.000 0.500
Y 0.000 0.500 0.500
Y 0.500 0.500 0.000
Y 0.500 0.500 0.500
O 0.243 0.720 0.486
O 0.264 0.292 0.528
O 0.757 0.280 0.514
O 0.243 0.720 0.977
O 0.736 0.708 0.472
O 0.734 0.720 0.977
O 0.266 0.280 0.023
O 0.757 0.280 0.023

Summary:
raw total energy: -104.1 eV per cell



no.,volume (Å³/cell)
1,57
2,490
3,171
4,123
5,122
6,139
7,132
8,506
9,166
10,321
11,197
12,274
13,175
14,93
15,206
16,133
17,288
18,130
19,69
20,254
21,118
22,302
23,228